Record 1
DyPtS | GGA-PBE | optimized geometry

Computed properties:
SG = Cmcm, No. 63
formation energy from raw total energies = -1300 meV/atom

a b c (Å): 4.162 5.336 5.676
angles (deg): 90.00 111.51 90.00
Element x y z (fractional)
Dy1 0.865 0.250 0.731
Dy2 0.135 0.750 0.269
Pt1 0.561 0.250 0.122
Pt2 0.439 0.750 0.878
S1 0.178 0.250 0.356
S2 0.822 0.750 0.644

=====

Record 2
Dy6Pt2S | GGA-PBE | optimized geometry

Computed properties:
SG = P2_1/c, No. 14
formation energy from raw total energies = -1040 meV/atom

a b c (Å): 6.511 7.201 10.048
angles (deg): 90.00 86.94 90.00
Element x y z (fractional)
Dy1 0.824 0.670 0.428
Dy2 0.676 0.170 0.072
Dy3 0.176 0.330 0.572
Dy4 0.337 0.812 0.568
Dy5 0.150 0.039 0.245
Dy6 0.850 0.961 0.755
Dy7 0.650 0.461 0.745
Dy8 0.837 0.688 0.068
Dy9 0.163 0.312 0.932
Dy10 0.324 0.830 0.928
Dy11 0.350 0.539 0.255
Dy12 0.663 0.188 0.432
Pt1 0.557 0.885 0.264
Pt2 0.943 0.385 0.236
Pt3 0.443 0.115 0.736
Pt4 0.057 0.615 0.764
S1 0.500 0.500 0.000
S2 0.000 0.000 0.500

=====

Record 3
Dy4PtSe2S | GGA-PBE | optimized geometry

Computed properties:
SG = P2/m, No. 10
formation energy from raw total energies = -1682 meV/atom

a b c (Å): 3.979 7.124 7.088
angles (deg): 70.96 90.00 90.00
Element x y z (fractional)
Dy1 0.500 0.264 0.744
Dy2 0.500 0.736 0.256
Dy3 0.000 0.731 0.761
Dy4 0.000 0.269 0.239
S1 0.000 0.500 0.500
Se1 0.500 0.000 0.500
Se2 0.000 0.000 0.000
Pt1 0.500 0.500 0.000

=====

- What is the formation energy from raw total energies in the second record?
  -1040 meV/atom